InHgOs after structural relaxation. Source: OQMD, functional PBE.

Summary:
SG: F-43m (216)
Energy: -3.99 eV per atom

Cell: 4.538 4.538 4.538 Å, 60.00 60.00 60.00°
Fractional coordinates of all 3 atoms:
Hg 0.250 0.250 0.250
In 0.750 0.750 0.750
Os 0.000 0.000 0.000